No. 1
Density functional theory data (PBE) for crystalline Dy3Ho2ThSe6 at its relaxed geometry.

Summary:
E_form (uncorrected): -1.696 eV per atom
Total energy: -5.97 eV/atom

Lattice parameters (Å, degrees): 9.124 9.124 8.237 102.03 102.03 25.77
Sites, in units of the cell vectors:
Dy: 0.000 0.000 0.000
Dy: 0.340 0.340 0.665
Dy: 0.660 0.660 0.335
Ho: 0.336 0.336 0.171
Ho: 0.664 0.664 0.829
Th: 0.000 0.000 0.500
Se: 0.169 0.169 0.083
Se: 0.173 0.173 0.589
Se: 0.498 0.498 0.238
Se: 0.502 0.502 0.762
Se: 0.827 0.827 0.411
Se: 0.831 0.831 0.917

No. 2
Density functional theory data (PBE) for crystalline TaSiMoRh at its relaxed geometry.

Summary:
E_form (uncorrected): -0.387 eV per atom
Total energy: -9.25 eV/atom

Lattice parameters (Å, degrees): 4.397 4.397 4.397 60.00 60.00 60.00
Sites, in units of the cell vectors:
Ta: 0.000 0.000 0.000
Si: 0.500 0.500 0.500
Mo: 0.250 0.250 0.250
Rh: 0.750 0.750 0.750

No. 3
Density functional theory data (PBE) for crystalline PmRhPb at its relaxed geometry.

Summary:
Energy of formation: -501 meV per atom
E above lowest polymorph: 0 meV per atom
Total energy: -5.77 eV/atom

Lattice parameters (Å, degrees): 4.788 4.788 4.788 60.00 60.00 60.00
Sites, in units of the cell vectors:
Pm: 0.000 0.000 0.000
Rh: 0.250 0.250 0.250
Pb: 0.500 0.500 0.500

No. 4
Density functional theory data (PBE) for crystalline Pm2TmCu2Si2 at its relaxed geometry.

Summary:
E_form (uncorrected): -0.503 eV per atom
Total energy: -5.22 eV/atom

Lattice parameters (Å, degrees): 10.717 10.717 10.717 22.26 22.26 22.26
Sites, in units of the cell vectors:
Pm: 0.119 0.119 0.119
Pm: 0.881 0.881 0.881
Tm: 0.000 0.000 0.000
Cu: 0.388 0.388 0.388
Cu: 0.612 0.612 0.612
Si: 0.275 0.275 0.275
Si: 0.725 0.725 0.725